--- a ---
DFT (PBE) results for a relaxed structure of DySc4.

```
data_DySc4
_chemical_formula_sum 'Dy2 Sc8'
_cell_length_a 3.252
_cell_length_b 5.238
_cell_length_c 15.121
_cell_angle_alpha 90.00
_cell_angle_beta 90.00
_cell_angle_gamma 90.00
_symmetry_space_group_name_H-M 'I m m m'
_symmetry_Int_Tables_number 71
_symmetry_space_group_name_Hall '-I 2 2'
loop_
_atom_site_label
_atom_site_type_symbol
_atom_site_fract_x
_atom_site_fract_y
_atom_site_fract_z
_atom_site_occupancy
Dy1 Dy 0.000 0.000 0.000 1
Sc1 Sc 0.000 0.000 0.399 1
Sc2 Sc 0.000 0.500 0.287 1
```

---

--- b ---
DFT (PBE) results for a relaxed structure of DySc4.

```
data_DySc4
_chemical_formula_sum 'Dy1 Sc4'
_cell_length_a 5.217
_cell_length_b 5.217
_cell_length_c 5.217
_cell_angle_alpha 90.00
_cell_angle_beta 90.00
_cell_angle_gamma 90.00
_symmetry_space_group_name_H-M 'P m -3 m'
_symmetry_Int_Tables_number 221
_symmetry_space_group_name_Hall '-P 4 2 3'
loop_
_atom_site_label
_atom_site_type_symbol
_atom_site_fract_x
_atom_site_fract_y
_atom_site_fract_z
_atom_site_occupancy
Dy1 Dy 0.000 0.000 0.000 1
Sc1 Sc 0.000 0.000 0.500 1
Sc2 Sc 0.500 0.500 0.500 1
```

---

--- c ---
DFT (PBE) results for a relaxed structure of DySc4.

```
data_DySc4
_chemical_formula_sum 'Dy2 Sc8'
_cell_length_a 5.765
_cell_length_b 3.332
_cell_length_c 13.552
_cell_angle_alpha 90.00
_cell_angle_beta 98.04
_cell_angle_gamma 90.00
_symmetry_space_group_name_H-M 'C 1 2/m 1'
_symmetry_Int_Tables_number 12
loop_
_symmetry_equiv_pos_as_xyz
'x,y,z'
'-x,-y,-z'
'-x,y,-z'
'x,-y,z'
'x+1/2,y+1/2,z'
'-x+1/2,-y+1/2,-z'
'-x+1/2,y+1/2,-z'
'x+1/2,-y+1/2,z'
loop_
_atom_site_label
_atom_site_type_symbol
_atom_site_fract_x
_atom_site_fract_y
_atom_site_fract_z
_atom_site_occupancy
Dy1 Dy 0.000 0.000 0.000 1
Sc1 Sc 0.099 0.500 0.792 1
Sc2 Sc 0.200 0.000 0.598 1
```

---

How do the structures above rank in stability at the extremes? a comes first and b comes last.